Record 1
LiTl2P, relaxed, DFT GGA-PBE; theoretical density = 8.02 Mg/m³; density of states at the Fermi level = 0.438 states/eV/atom; DFT total energy = -2.936 eV per atom; energy of formation from the pure elements = 0.078 eV/atom
1.0
3.751 0.000 0.000
0.000 3.751 0.000
0.000 0.000 6.577
Li Tl P
1 2 1
Direct
0.000 0.000 0.000
0.500 0.500 0.264
0.500 0.500 0.736
0.000 0.000 0.500

=====

Record 2
LiTlP, relaxed, DFT GGA-PBE; theoretical density = 6.46 Mg/m³; density of states at the Fermi level = 0.498 states/eV/atom; DFT total energy = -3.298 eV per atom; energy of formation from the pure elements = -0.068 eV/atom
1.0
4.214 0.000 0.000
-2.107 3.649 0.000
0.000 0.000 4.053
Li Tl P
1 1 1
Direct
0.000 0.000 0.000
0.667 0.333 0.510
0.333 0.667 0.112

=====

Record 3
LiTlP, relaxed, DFT GGA-PBE; theoretical density = 5.92 Mg/m³; density of states at the Fermi level = 0.259 states/eV/atom; DFT total energy = -3.266 eV per atom; energy of formation from the pure elements = -0.036 eV/atom
1.0
-1.542 1.830 6.023
1.542 -1.830 6.023
1.542 1.830 -6.023
Li Tl P
1 1 1
Direct
0.000 0.000 0.000
0.747 0.747 0.000
0.412 0.412 0.000

=====

Record 4
LiTl2P, relaxed, DFT GGA-PBE; theoretical density = 7.51 Mg/m³; density of states at the Fermi level = 0.266 states/eV/atom; DFT total energy = -2.997 eV per atom; energy of formation from the pure elements = 0.017 eV/atom
1.0
-2.050 2.778 4.335
2.050 -2.778 4.335
2.050 2.778 -4.335
Li Tl P
1 2 1
Direct
0.000 0.000 0.000
0.400 0.400 0.000
0.695 0.195 0.500
0.164 0.664 0.500

=====

Record 5
Li4TlP, relaxed, DFT GGA-PBE; theoretical density = 4.16 Mg/m³; density of states at the Fermi level = 0.346 states/eV/atom; DFT total energy = -2.594 eV per atom; energy of formation from the pure elements = -0.022 eV/atom
1.0
0.000 3.744 3.744
3.744 0.000 3.744
3.744 3.744 0.000
Li Tl P
4 1 1
Direct
0.124 0.124 0.124
0.124 0.124 0.628
0.124 0.628 0.124
0.628 0.124 0.124
0.500 0.500 0.500
0.750 0.750 0.750

=====

Record 6
LiTlP2, relaxed, DFT GGA-PBE; theoretical density = 5.42 Mg/m³; density of states at the Fermi level = 0.259 states/eV/atom; DFT total energy = -3.910 eV per atom; energy of formation from the pure elements = -0.135 eV/atom
1.0
3.595 0.000 0.000
0.000 3.610 0.000
0.000 0.000 6.454
Li Tl P
1 1 2
Direct
0.000 0.000 0.000
0.000 0.000 0.500
0.500 0.500 0.159
0.500 0.500 0.841

=====

Record 7
LiTlP2, relaxed, DFT GGA-PBE; theoretical density = 5.84 Mg/m³; density of states at the Fermi level = 0.830 states/eV/atom; DFT total energy = -3.384 eV per atom; energy of formation from the pure elements = 0.391 eV/atom
1.0
0.000 3.387 3.387
3.387 0.000 3.387
3.387 3.387 0.000
Li Tl P
1 1 2
Direct
0.000 0.000 0.000
0.500 0.500 0.500
0.250 0.250 0.250
0.750 0.750 0.750

=====

Record 8
LiTl2P, relaxed, DFT GGA-PBE; theoretical density = 7.86 Mg/m³; density of states at the Fermi level = 0.136 states/eV/atom; DFT total energy = -2.953 eV per atom; energy of formation from the pure elements = 0.061 eV/atom
1.0
-2.374 2.374 4.185
2.374 -2.374 4.185
2.374 2.374 -4.185
Li Tl P
1 2 1
Direct
0.000 0.000 0.000
0.250 0.750 0.500
0.750 0.250 0.500
0.500 0.500 0.000

=====

Record 9
LiTlP2, relaxed, DFT GGA-PBE; theoretical density = 5.87 Mg/m³; density of states at the Fermi level = 0.327 states/eV/atom; DFT total energy = -3.772 eV per atom; energy of formation from the pure elements = 0.003 eV/atom
1.0
3.231 0.000 0.000
0.000 3.231 0.000
0.000 0.000 7.404
Li Tl P
1 1 2
Direct
0.000 0.000 0.000
0.500 0.500 0.711
0.000 0.000 0.334
0.500 0.500 0.221

=====

Record 10
LiTl2P, relaxed, DFT GGA-PBE; theoretical density = 6.78 Mg/m³; density of states at the Fermi level = 0.064 states/eV/atom; DFT total energy = -3.057 eV per atom; energy of formation from the pure elements = -0.043 eV/atom
1.0
-4.647 4.647 2.533
4.647 -4.647 2.533
4.647 4.647 -2.533
Li Tl P
2 4 2
Direct
0.000 0.000 0.000
0.750 0.250 0.500
0.216 0.625 0.091
0.375 0.466 0.591
0.534 0.125 0.909
0.875 0.784 0.409
0.250 0.750 0.500
0.500 0.500 0.000

=====

Record 11
Li3TlP, relaxed, DFT GGA-PBE; theoretical density = 4.04 Mg/m³; density of states at the Fermi level = 0.461 states/eV/atom; DFT total energy = -3.044 eV per atom; energy of formation from the pure elements = -0.341 eV/atom
1.0
4.723 0.000 0.000
0.000 4.723 0.000
0.000 0.000 4.723
Li Tl P
3 1 1
Direct
0.000 0.000 0.500
0.000 0.500 0.000
0.500 0.000 0.000
0.500 0.500 0.500
0.000 0.000 0.000

=====

Record 12
LiTl2P, relaxed, DFT GGA-PBE; theoretical density = 7.39 Mg/m³; density of states at the Fermi level = 0.271 states/eV/atom; DFT total energy = -2.983 eV per atom; energy of formation from the pure elements = 0.031 eV/atom
1.0
2.041 1.178 6.960
-2.041 1.178 6.960
0.000 -2.356 6.960
Li Tl P
1 2 1
Direct
0.000 0.000 0.000
0.241 0.241 0.241
0.759 0.759 0.759
0.500 0.500 0.500

=====

Record 13
LiTl2P, relaxed, DFT GGA-PBE; theoretical density = 8.08 Mg/m³; density of states at the Fermi level = 0.415 states/eV/atom; DFT total energy = -2.955 eV per atom; energy of formation from the pure elements = 0.059 eV/atom
1.0
4.424 0.000 0.000
0.000 4.494 0.000
0.000 0.000 4.618
Li Tl P
1 2 1
Direct
0.000 0.000 0.000
0.500 0.000 0.500
0.500 0.500 0.000
0.000 0.500 0.500

=====

Record 14
LiY2TlP, relaxed, DFT GGA-PBE; theoretical density = 5.39 Mg/m³; density of states at the Fermi level = 0.954 states/eV/atom; DFT total energy = -5.163 eV per atom; energy of formation from the pure elements = -0.640 eV/atom
1.0
5.369 0.000 0.000
0.000 5.369 0.000
0.000 0.000 4.489
Li Y Tl P
1 2 1 1
Direct
0.000 0.000 0.000
0.000 0.500 0.500
0.500 0.000 0.500
0.500 0.500 0.000
0.000 0.000 0.500

=====

Record 15
Li4TmP2, relaxed, DFT GGA-PBE; theoretical density = 3.98 Mg/m³; density of states at the Fermi level = 0.500 states/eV/atom; DFT total energy = -4.072 eV per atom; energy of formation from the pure elements = -0.794 eV/atom
1.0
7.370 0.000 0.000
0.000 7.370 0.000
0.000 0.000 3.968
Li Tm P
8 2 4
Direct
0.098 0.336 0.000
0.164 0.598 0.500
0.336 0.098 0.000
0.402 0.836 0.500
0.598 0.164 0.500
0.664 0.902 0.000
0.836 0.402 0.500
0.902 0.664 0.000
0.000 0.000 0.500
0.500 0.500 0.000
0.209 0.791 0.000
0.291 0.291 0.500
0.709 0.709 0.500
0.791 0.209 0.000

=====

Record 16
LiTmP, relaxed, DFT GGA-PBE; theoretical density = 6.46 Mg/m³; density of states at the Fermi level = 0.704 states/eV/atom; DFT total energy = -4.904 eV per atom; energy of formation from the pure elements = -0.972 eV/atom
1.0
3.947 0.000 0.000
0.000 5.924 3.410
0.000 -5.924 3.410
Li Tm P
3 3 3
Direct
0.000 0.000 0.000
0.000 0.238 0.477
0.000 0.477 0.238
0.500 0.240 0.833
0.500 0.644 0.644
0.500 0.833 0.240
0.000 0.572 0.905
0.000 0.905 0.572
0.500 0.237 0.237

=====

Record 17
LiTmP, relaxed, DFT GGA-PBE; theoretical density = 5.65 Mg/m³; density of states at the Fermi level = 0.593 states/eV/atom; DFT total energy = -4.838 eV per atom; energy of formation from the pure elements = -0.906 eV/atom
1.0
0.000 3.120 3.120
3.120 0.000 3.120
3.120 3.120 0.000
Li Tm P
1 1 1
Direct
0.000 0.000 0.000
0.500 0.500 0.500
0.250 0.250 0.250

=====

Record 18
LiTmU2P4, relaxed, DFT GGA-PBE; theoretical density = 7.51 Mg/m³; density of states at the Fermi level = 1.468 states/eV/atom; DFT total energy = -7.274 eV per atom; energy of formation from the pure elements = -0.948 eV/atom
1.0
6.753 0.000 0.000
0.000 3.950 0.000
-2.297 0.000 6.426
Li Tm U P
1 1 2 4
Direct
0.000 0.000 0.000
0.000 0.500 0.500
0.500 0.000 0.500
0.500 0.500 0.000
0.253 0.000 0.751
0.261 0.500 0.256
0.739 0.500 0.744
0.747 0.000 0.249

=====

Record 19
LiUP, relaxed, DFT GGA-PBE; theoretical density = 8.76 Mg/m³; density of states at the Fermi level = 1.098 states/eV/atom; DFT total energy = -6.873 eV per atom; energy of formation from the pure elements = -0.669 eV/atom
1.0
1.871 1.080 8.628
-1.871 1.080 8.628
0.000 -2.160 8.628
Li U P
2 2 2
Direct
0.197 0.197 0.197
0.803 0.803 0.803
0.363 0.363 0.363
0.637 0.637 0.637
0.095 0.095 0.095
0.905 0.905 0.905

=====

Record 20
LiUP2, relaxed, DFT GGA-PBE; theoretical density = 6.21 Mg/m³; density of states at the Fermi level = 1.385 states/eV/atom; DFT total energy = -6.611 eV per atom; energy of formation from the pure elements = -0.605 eV/atom
1.0
1.970 1.138 6.103
-1.970 1.138 6.103
0.000 -2.275 6.103
Li U P
1 1 2
Direct
0.000 0.000 0.000
0.180 0.180 0.180
0.593 0.593 0.593
0.765 0.765 0.765

=====

Record 21
LiUP2, relaxed, DFT GGA-PBE; theoretical density = 6.35 Mg/m³; density of states at the Fermi level = 1.247 states/eV/atom; DFT total energy = -6.656 eV per atom; energy of formation from the pure elements = -0.650 eV/atom
1.0
2.019 1.166 5.683
-2.019 1.166 5.683
0.000 -2.331 5.683
Li U P
1 1 2
Direct
0.000 0.000 0.000
0.500 0.500 0.500
0.246 0.246 0.246
0.754 0.754 0.754

=====

Record 22
LiUP2, relaxed, DFT GGA-PBE; theoretical density = 7.58 Mg/m³; density of states at the Fermi level = 0.981 states/eV/atom; DFT total energy = -6.671 eV per atom; energy of formation from the pure elements = -0.665 eV/atom
1.0
4.388 0.000 0.000
0.000 4.388 0.000
0.000 0.000 3.491
Li U P
1 1 2
Direct
0.000 0.000 0.000
0.500 0.500 0.000
0.000 0.500 0.500
0.500 0.000 0.500

=====

Record 23
LiUP, relaxed, DFT GGA-PBE; theoretical density = 7.99 Mg/m³; density of states at the Fermi level = 1.595 states/eV/atom; DFT total energy = -6.301 eV per atom; energy of formation from the pure elements = -0.097 eV/atom
1.0
-1.899 1.899 3.978
1.899 -1.899 3.978
1.899 1.899 -3.978
Li U P
1 1 1
Direct
0.000 0.000 0.000
0.660 0.660 0.000
0.302 0.302 0.000

=====

Record 24
LiUP, relaxed, DFT GGA-PBE; theoretical density = 8.33 Mg/m³; density of states at the Fermi level = 1.248 states/eV/atom; DFT total energy = -6.662 eV per atom; energy of formation from the pure elements = -0.458 eV/atom
1.0
3.866 0.000 0.000
0.000 3.866 0.000
0.000 0.000 7.363
Li U P
2 2 2
Direct
0.250 0.250 0.129
0.750 0.750 0.871
0.250 0.750 0.500
0.750 0.250 0.500
0.250 0.250 0.776
0.750 0.750 0.224

=====

Record 25
LiY2UP4, relaxed, DFT GGA-PBE; theoretical density = 5.22 Mg/m³; density of states at the Fermi level = 0.505 states/eV/atom; DFT total energy = -7.055 eV per atom; energy of formation from the pure elements = -1.084 eV/atom
1.0
6.739 0.000 0.000
0.000 3.981 0.000
-2.176 0.000 6.487
Li Y U P
1 2 1 4
Direct
0.000 0.000 0.000
0.000 0.500 0.500
0.500 0.000 0.500
0.500 0.500 0.000
0.255 0.000 0.760
0.261 0.500 0.239
0.739 0.500 0.761
0.745 0.000 0.240

=====

Record 26
LiZrU2P4, relaxed, DFT GGA-PBE; theoretical density = 7.21 Mg/m³; density of states at the Fermi level = 1.554 states/eV/atom; DFT total energy = -7.762 eV per atom; energy of formation from the pure elements = -0.927 eV/atom
1.0
6.559 0.000 0.000
0.000 3.867 0.000
-2.298 0.000 6.339
Li Zr U P
1 1 2 4
Direct
0.000 0.000 0.000
0.000 0.500 0.500
0.500 0.000 0.500
0.500 0.500 0.000
0.241 0.000 0.746
0.246 0.500 0.252
0.754 0.500 0.748
0.759 0.000 0.254

=====

Record 27
Li2VP, relaxed, DFT GGA-PBE; theoretical density = 2.83 Mg/m³; density of states at the Fermi level = 0.477 states/eV/atom; DFT total energy = -4.665 eV per atom; energy of formation from the pure elements = -0.076 eV/atom
1.0
-1.710 1.710 9.613
1.710 -1.710 9.613
1.710 1.710 -9.613
Li V P
4 2 2
Direct
0.105 0.625 0.980
0.375 0.355 0.480
0.645 0.125 0.020
0.875 0.895 0.520
0.250 0.750 0.500
0.500 0.500 0.000
0.000 0.000 0.000
0.750 0.250 0.500

=====

Record 28
LiVP3, relaxed, DFT GGA-PBE; theoretical density = 3.16 Mg/m³; density of states at the Fermi level = 1.181 states/eV/atom; DFT total energy = -4.650 eV per atom; energy of formation from the pure elements = 0.802 eV/atom
1.0
4.296 0.000 0.000
0.000 4.296 0.000
0.000 0.000 4.296
Li V P
1 1 3
Direct
0.000 0.000 0.000
0.500 0.500 0.500
0.000 0.000 0.500
0.000 0.500 0.000
0.500 0.000 0.000